This record from Alexandria describes an optimized crystal structure of Cr2SiSe. The functional is PBE-GGA.

Unit cell a=4.5214 b=4.5214 c=4.3358 alpha=104.54 beta=104.54 gamma=39.22
Fractional positions:
1 Cr 0.0000 0.0000 0.0000
2 Cr 0.2290 0.2290 0.6265
3 Si 0.4951 0.4951 0.5097
4 Se 0.7389 0.7389 0.1444

Properties
E_form (uncorrected) ... 0.023 eV per atom
Crystal system ... monoclinic
Magnetization ... 0.182 μB per cell
Density of states at the Fermi level ... 2.08 states/eV per cell
Distance to the lowest polymorph of the same formula ... 0.286 eV/f.u.
E_tot ... -7.02 eV/atom